[1]
# Er6TlIn5 PBE optimized geometry
# Formation enthalpy at 0 K: -0.313 eV/atom
# Density: 8.81 g cm⁻³
# Calculated volume: 28.0 Å³/atom
# Polymorph energy (0 for the lowest one): 105 meV/atom
# Energy: -3.933 eV per atom
data_Er6TlIn5
_chemical_formula_sum 'Er12 Tl2 In10'
_symmetry_space_group_name_H-M 'C 1 2/m 1'
_symmetry_Int_Tables_number 12
_cell_length_a 6.345
_cell_length_b 10.929
_cell_length_c 9.906
_cell_angle_alpha 90.00
_cell_angle_beta 102.03
_cell_angle_gamma 90.00
loop_
_symmetry_equiv_pos_as_xyz
'x,y,z'
'-x,-y,-z'
'-x,y,-z'
'x,-y,z'
'x+1/2,y+1/2,z'
'-x+1/2,-y+1/2,-z'
'-x+1/2,y+1/2,-z'
'x+1/2,-y+1/2,z'
loop_
_atom_site_label
_atom_site_fract_x
_atom_site_fract_y
_atom_site_fract_z
_atom_site_occupancy
Er1 0.249 0.000 0.250 1
Er2 0.249 0.167 0.750 1
Tl1 0.000 0.500 0.000 1
In1 0.000 0.000 0.500 1
In2 0.000 0.167 0.000 1
In3 0.000 0.334 0.500 1

=====

[2]
# Er5Tl4In PBE optimized geometry
# Formation enthalpy at 0 K: -0.338 eV/atom
# Density: 11.03 g cm⁻³
# Calculated volume: 26.6 Å³/atom
# Energy: -3.840 eV per atom
data_Er5Tl4In
_chemical_formula_sum 'Er5 Tl4 In1'
_symmetry_space_group_name_H-M 'P 4/m m m'
_symmetry_Int_Tables_number 123
_symmetry_space_group_name_Hall '-P 4 2'
_cell_length_a 3.715
_cell_length_b 3.715
_cell_length_c 19.296
_cell_angle_alpha 90.00
_cell_angle_beta 90.00
_cell_angle_gamma 90.00
loop_
_atom_site_label
_atom_site_fract_x
_atom_site_fract_y
_atom_site_fract_z
_atom_site_occupancy
Er1 0.000 0.000 0.000 1
Er2 0.000 0.000 0.201 1
Er3 0.000 0.000 0.402 1
Tl1 0.500 0.500 0.101 1
Tl2 0.500 0.500 0.302 1
In1 0.500 0.500 0.500 1